A geometry-optimized LaNiRh2 structure, computed with GGA-PBEsol.

```
LaNiRh2
1.0
3.3391 0.0000 0.0000
0.0000 3.3391 0.0000
0.0000 0.0000 5.9825
La Ni Rh
1 1 2
direct
0.0000 0.0000 0.5025
0.5000 0.5000 0.8099
0.0000 0.0000 0.9692
0.5000 0.5000 0.2184
```

Output
SG: No. 99
Volume (Å³ per atom): 16.7
Calculated density (g cm⁻³): 10.04
Excess energy over the best structure of this formula in the dataset (eV per formula unit): 0.80
Size of the total moment (Bohr magnetons per cell): 0.000
Formation enthalpy at 0 K (eV per atom): -0.0098